Computed, not measured: a geometry-optimized MnNbZn2 structure at the PBE level of DFT.

Unit cell a=6.1109 b=6.1109 c=6.1109 alpha=90.00 beta=90.00 gamma=90.00
Space group Fm-3m (No. 225)
Symmetry-distinct sites (fractional):
Mn 0.0000 0.0000 0.0000
Nb 0.0000 0.0000 0.5000
Zn 0.2500 0.2500 0.2500

Properties
**Uncorrected energy**: -20.664 eV per formula unit
**Crystal system**: cubic
**Distance to the lowest polymorph of the same formula**: 272.0 meV/atom
**E_form**: 281 meV per atom

***

Computed, not measured: a geometry-optimized Mn3NbZn structure at the PBE level of DFT.

Unit cell a=4.6730 b=4.6730 c=4.6730 alpha=90.00 beta=90.00 gamma=90.00
Space group Pm-3m (No. 221)
Symmetry-distinct sites (fractional):
Mn 0.0000 0.0000 0.5000
Nb 0.0000 0.0000 0.0000
Zn 0.5000 0.5000 0.5000

Properties
**Uncorrected energy**: -32.159 eV per formula unit
**Crystal system**: cubic
**Distance to the lowest polymorph of the same formula**: 247.0 meV/atom
**E_form**: 1339 meV per atom

***

Computed, not measured: a geometry-optimized MnNbZn structure at the PBE level of DFT.

Unit cell a=2.7927 b=2.7927 c=11.8431 alpha=90.00 beta=90.00 gamma=90.00
Space group I4mm (No. 107)
Symmetry-distinct sites (fractional):
Mn 0.0000 0.0000 0.0000
Nb 0.0000 0.0000 0.3276
Zn 0.0000 0.0000 0.6517

Properties
**Uncorrected energy**: -20.297 eV per formula unit
**Crystal system**: tetragonal
**E_form**: 72 meV per atom

***

Computed, not measured: a geometry-optimized Mn2NbZn2 structure at the PBE level of DFT.

Unit cell a=7.2195 b=7.2195 c=2.7666 alpha=90.00 beta=90.00 gamma=90.00
Space group P4/mbm (No. 127)
Symmetry-distinct sites (fractional):
Mn 0.1226 0.3774 0.0000
Nb 0.0000 0.0000 0.0000
Zn 0.1739 0.6739 0.5000

Properties
**Uncorrected energy**: -30.044 eV per formula unit
**Crystal system**: tetragonal
**Distance to the lowest polymorph of the same formula**: 58.1 meV/atom
**E_form**: 183 meV per atom

***

Computed, not measured: a geometry-optimized MnNbZn2 structure at the PBE level of DFT.

Unit cell a=2.8142 b=2.8142 c=7.6187 alpha=90.00 beta=90.00 gamma=90.00
Space group P4/mmm (No. 123)
Symmetry-distinct sites (fractional):
Mn 0.0000 0.0000 0.0000
Nb 0.0000 0.0000 0.5000
Zn 0.5000 0.5000 0.2314

Properties
**Uncorrected energy**: -21.752 eV per formula unit
**Crystal system**: tetragonal
**Distance to the lowest polymorph of the same formula**: 0.0 meV/atom
**E_form**: 9 meV per atom

***

Computed, not measured: a geometry-optimized Mn2Nb2Zn structure at the PBE level of DFT.

Unit cell a=6.8685 b=6.8685 c=3.2637 alpha=90.00 beta=90.00 gamma=90.00
Space group P4/mbm (No. 127)
Symmetry-distinct sites (fractional):
Mn 0.1262 0.3738 0.0000
Nb 0.1771 0.6771 0.5000
Zn 0.0000 0.0000 0.0000

Properties
**Uncorrected energy**: -39.242 eV per formula unit
**Crystal system**: tetragonal
**E_form**: 102 meV per atom

***

Computed, not measured: a geometry-optimized MnNbZn2 structure at the PBE level of DFT.

Unit cell a=3.7148 b=3.7148 c=4.2653 alpha=90.00 beta=90.00 gamma=90.00
Space group P4/mmm (No. 123)
Symmetry-distinct sites (fractional):
Mn 0.0000 0.0000 0.0000
Nb 0.5000 0.5000 0.0000
Zn 0.0000 0.5000 0.5000

Properties
**Uncorrected energy**: -21.703 eV per formula unit
**Crystal system**: tetragonal
**Distance to the lowest polymorph of the same formula**: 12.1 meV/atom
**E_form**: 21 meV per atom

***

Computed, not measured: a geometry-optimized MnNbZn structure at the PBE level of DFT.

Unit cell a=5.2600 b=8.1853 c=8.7102 alpha=90.00 beta=90.00 gamma=90.00
Space group Fmmm (No. 69)
Symmetry-distinct sites (fractional):
Mn 0.2500 0.2500 0.2500
Nb 0.0000 0.0000 0.1692
Zn 0.0000 0.1627 0.5000

Properties
**Uncorrected energy**: -19.946 eV per formula unit
**Crystal system**: orthorhombic
**E_form**: 189 meV per atom

***

Computed, not measured: a geometry-optimized MnNbZn2 structure at the PBE level of DFT.

Unit cell a=3.6298 b=3.6298 c=19.3750 alpha=90.00 beta=90.00 gamma=90.00
Space group I-42d (No. 122)
Symmetry-distinct sites (fractional):
Mn 0.0000 0.0000 0.0000
Nb 0.0000 0.0000 0.5000
Zn 0.2414 0.2500 0.1250

Properties
**Uncorrected energy**: -20.214 eV per formula unit
**Crystal system**: tetragonal
**Distance to the lowest polymorph of the same formula**: 384.4 meV/atom
**E_form**: 393 meV per atom

***

Computed, not measured: a geometry-optimized MnNb2Zn2 structure at the PBE level of DFT.

Unit cell a=6.5880 b=6.5880 c=3.5463 alpha=90.00 beta=90.00 gamma=90.00
Space group P4/mbm (No. 127)
Symmetry-distinct sites (fractional):
Mn 0.0000 0.0000 0.0000
Nb 0.1750 0.3250 0.5000
Zn 0.1292 0.6292 0.0000

Properties
**Uncorrected energy**: -30.839 eV per formula unit
**Crystal system**: tetragonal
**E_form**: 204 meV per atom

***

Computed, not measured: a geometry-optimized Mn2NbZn2 structure at the PBE level of DFT.

Unit cell a=7.2414 b=7.2414 c=2.7856 alpha=90.00 beta=90.00 gamma=90.00
Space group P4/mbm (No. 127)
Symmetry-distinct sites (fractional):
Mn 0.1782 0.3218 0.0000
Nb 0.0000 0.0000 0.5000
Zn 0.1212 0.6212 0.5000

Properties
**Uncorrected energy**: -30.334 eV per formula unit
**Crystal system**: tetragonal
**Distance to the lowest polymorph of the same formula**: 0.0 meV/atom
**E_form**: 124 meV per atom

***

Computed, not measured: a geometry-optimized MnNbZn4 structure at the PBE level of DFT.

Unit cell a=7.0659 b=7.0659 c=7.0659 alpha=90.00 beta=90.00 gamma=90.00
Space group F-43m (No. 216)
Symmetry-distinct sites (fractional):
Mn 0.0000 0.0000 0.0000
Nb 0.2500 0.2500 0.7500
Zn 0.1252 0.1252 0.3748

Properties
**Uncorrected energy**: -24.177 eV per formula unit
**Crystal system**: cubic
**E_form**: 26 meV per atom

***

Computed, not measured: a geometry-optimized Mn2NbZn structure at the PBE level of DFT.

Unit cell a=6.8545 b=6.8545 c=5.3362 alpha=90.00 beta=90.00 gamma=90.00
Space group I-42d (No. 122)
Symmetry-distinct sites (fractional):
Mn 0.2460 0.2500 0.1250
Nb 0.0000 0.0000 0.5000
Zn 0.0000 0.0000 0.0000

Properties
**Uncorrected energy**: -27.534 eV per formula unit
**Crystal system**: tetragonal
**E_form**: 537 meV per atom

***

Computed, not measured: a geometry-optimized ZrMnNb2 structure at the PBE level of DFT.

Unit cell a=6.4863 b=6.4863 c=6.4863 alpha=90.00 beta=90.00 gamma=90.00
Space group Fm-3m (No. 225)
Symmetry-distinct sites (fractional):
Zr 0.0000 0.0000 0.0000
Mn 0.0000 0.0000 0.5000
Nb 0.2500 0.2500 0.2500

Properties
**Uncorrected energy**: -37.257 eV per formula unit
**Crystal system**: cubic
**Distance to the lowest polymorph of the same formula**: 119.1 meV/atom
**E_form**: 150 meV per atom

***

Computed, not measured: a geometry-optimized Zr3Mn8Nb structure at the PBE level of DFT.

Unit cell a=4.9444 b=4.9444 c=24.1727 alpha=90.00 beta=90.00 gamma=120.00
Space group R3m (No. 160, hexagonal axes)
Symmetry-distinct sites (fractional):
Zr 0.0000 0.0000 0.0000
Zr 0.0000 0.0000 0.1258
Zr 0.0000 0.0000 0.5016
Mn 0.0000 0.0000 0.3131
Mn 0.0000 0.0000 0.8134
Mn 0.0007 0.5003 0.5644
Mn 0.1673 0.3345 0.3955
Nb 0.0000 0.0000 0.6259

Properties
**Uncorrected energy**: -111.052 eV per formula unit
**Crystal system**: trigonal
**E_form**: -165 meV per atom

***

Computed, not measured: a geometry-optimized Zr3MnNb structure at the PBE level of DFT.

Unit cell a=5.0268 b=5.0268 c=5.0268 alpha=90.00 beta=90.00 gamma=90.00
Space group Pm-3m (No. 221)
Symmetry-distinct sites (fractional):
Zr 0.0000 0.0000 0.5000
Mn 0.5000 0.5000 0.5000
Nb 0.0000 0.0000 0.0000

Properties
**Uncorrected energy**: -37.498 eV per formula unit
**Crystal system**: cubic
**Distance to the lowest polymorph of the same formula**: 920.2 meV/atom
**E_form**: 1477 meV per atom

***

Computed, not measured: a geometry-optimized ZrMn4Nb structure at the PBE level of DFT.

Unit cell a=6.9456 b=6.9456 c=6.9456 alpha=90.00 beta=90.00 gamma=90.00
Space group F-43m (No. 216)
Symmetry-distinct sites (fractional):
Zr 0.0000 0.0000 0.0000
Mn 0.1249 0.1249 0.6249
Nb 0.2500 0.2500 0.2500

Properties
**Uncorrected energy**: -56.203 eV per formula unit
**Crystal system**: cubic
**E_form**: -151 meV per atom

***

Computed, not measured: a geometry-optimized ZrMnNb2 structure at the PBE level of DFT.

Unit cell a=3.8575 b=3.8575 c=20.5070 alpha=90.00 beta=90.00 gamma=90.00
Space group I-42d (No. 122)
Symmetry-distinct sites (fractional):
Zr 0.0000 0.0000 0.0000
Mn 0.0000 0.0000 0.5000
Nb 0.2449 0.2500 0.6250

Properties
**Uncorrected energy**: -35.730 eV per formula unit
**Crystal system**: tetragonal
**Distance to the lowest polymorph of the same formula**: 500.8 meV/atom
**E_form**: 532 meV per atom

***

Computed, not measured: a geometry-optimized ZrMn8Nb3 structure at the PBE level of DFT.

Unit cell a=4.8754 b=4.8754 c=23.8982 alpha=90.00 beta=90.00 gamma=120.00
Space group R3m (No. 160, hexagonal axes)
Symmetry-distinct sites (fractional):
Zr 0.0000 0.0000 0.0000
Mn 0.0000 0.0000 0.3123
Mn 0.0000 0.0000 0.8126
Mn 0.0006 0.5003 0.0636
Mn 0.1672 0.3344 0.8947
Nb 0.0000 0.0000 0.1261
Nb 0.0000 0.0000 0.4998
Nb 0.0000 0.0000 0.6238

Properties
**Uncorrected energy**: -113.812 eV per formula unit
**Crystal system**: trigonal
**E_form**: -141 meV per atom

***

Computed, not measured: a geometry-optimized ZrMn2Nb2 structure at the PBE level of DFT.

Unit cell a=7.2351 b=7.2351 c=3.2071 alpha=90.00 beta=90.00 gamma=90.00
Space group P4/mbm (No. 127)
Symmetry-distinct sites (fractional):
Zr 0.0000 0.0000 0.0000
Mn 0.1279 0.3721 0.0000
Nb 0.1604 0.6604 0.5000

Properties
**Uncorrected energy**: -46.310 eV per formula unit
**Crystal system**: tetragonal
**Distance to the lowest polymorph of the same formula**: 0.0 meV/atom
**E_form**: 143 meV per atom

***

Computed, not measured: a geometry-optimized ZrMnNb2 structure at the PBE level of DFT.

Unit cell a=3.1112 b=3.1112 c=7.2456 alpha=90.00 beta=90.00 gamma=90.00
Space group P4/mmm (No. 123)
Symmetry-distinct sites (fractional):
Zr 0.0000 0.0000 0.0000
Mn 0.0000 0.0000 0.5000
Nb 0.5000 0.5000 0.2927

Properties
**Uncorrected energy**: -37.734 eV per formula unit
**Crystal system**: tetragonal
**Distance to the lowest polymorph of the same formula**: 0.0 meV/atom
**E_form**: 31 meV per atom

***

Computed, not measured: a geometry-optimized ZrMnNb3 structure at the PBE level of DFT.

Unit cell a=4.6479 b=4.6479 c=4.6479 alpha=90.00 beta=90.00 gamma=90.00
Space group Pm-3m (No. 221)
Symmetry-distinct sites (fractional):
Zr 0.0000 0.0000 0.0000
Mn 0.5000 0.5000 0.5000
Nb 0.0000 0.5000 0.5000

Properties
**Uncorrected energy**: -45.241 eV per formula unit
**Crystal system**: cubic
**Distance to the lowest polymorph of the same formula**: 0.0 meV/atom
**E_form**: 537 meV per atom

***

Computed, not measured: a geometry-optimized ZrMn5Nb4 structure at the PBE level of DFT.

Unit cell a=3.0887 b=3.0887 c=15.5136 alpha=90.00 beta=90.00 gamma=90.00
Space group P4/mmm (No. 123)
Symmetry-distinct sites (fractional):
Zr 0.0000 0.0000 0.0000
Mn 0.5000 0.5000 0.1091
Mn 0.5000 0.5000 0.3041
Mn 0.5000 0.5000 0.5000
Nb 0.0000 0.0000 0.2027
Nb 0.0000 0.0000 0.4010

Properties
**Uncorrected energy**: -95.731 eV per formula unit
**Crystal system**: tetragonal
**E_form**: -106 meV per atom

***

Computed, not measured: a geometry-optimized Zr3MnNb structure at the PBE level of DFT.

Unit cell a=4.7856 b=4.7856 c=4.7856 alpha=90.00 beta=90.00 gamma=90.00
Space group Pm-3m (No. 221)
Symmetry-distinct sites (fractional):
Zr 0.0000 0.0000 0.5000
Mn 0.0000 0.0000 0.0000
Nb 0.5000 0.5000 0.5000

Properties
**Uncorrected energy**: -42.099 eV per formula unit
**Crystal system**: cubic
**Distance to the lowest polymorph of the same formula**: 0.0 meV/atom
**E_form**: 557 meV per atom

***

Computed, not measured: a geometry-optimized ZrMnNb3 structure at the PBE level of DFT.

Unit cell a=4.8455 b=4.8455 c=4.8455 alpha=90.00 beta=90.00 gamma=90.00
Space group Pm-3m (No. 221)
Symmetry-distinct sites (fractional):
Zr 0.0000 0.0000 0.0000
Mn 0.5000 0.5000 0.5000
Nb 0.0000 0.0000 0.5000

Properties
**Uncorrected energy**: -37.086 eV per formula unit
**Crystal system**: cubic
**Distance to the lowest polymorph of the same formula**: 1631.0 meV/atom
**E_form**: 2168 meV per atom

***

Computed, not measured: a geometry-optimized ZrMn2Nb2 structure at the PBE level of DFT.

Unit cell a=3.7202 b=3.7202 c=12.9665 alpha=90.00 beta=90.00 gamma=90.00
Space group I4/mmm (No. 139)
Symmetry-distinct sites (fractional):
Zr 0.0000 0.0000 0.0000
Mn 0.0000 0.5000 0.2500
Nb 0.0000 0.0000 0.3856

Properties
**Uncorrected energy**: -44.966 eV per formula unit
**Crystal system**: tetragonal
**Distance to the lowest polymorph of the same formula**: 268.8 meV/atom
**E_form**: 412 meV per atom